{"formula": "Ho3Fe29", "functional": "PBE-GGA", "state": "relaxed", "cell": [[-4.895, -2.553, -3.222], [2.749, -5.595, -1.413], [-3.943, -5.007, 8.240]], "species": ["Ho", "Ho", "Ho", "Fe", "Fe", "Fe", "Fe", "Fe", "Fe", "Fe", "Fe", "Fe", "Fe", "Fe", "Fe", "Fe", "Fe", "Fe", "Fe", "Fe", "Fe", "Fe", "Fe", "Fe", "Fe", "Fe", "Fe", "Fe", "Fe", "Fe", "Fe", "Fe"], "frac_coords": [[0.000, 0.000, 0.000], [0.189, 0.189, 0.402], [0.811, 0.811, 0.598], [0.500, 0.500, 0.500], [0.290, 0.290, 0.859], [0.710, 0.710, 0.141], [0.519, 0.519, 0.745], [0.481, 0.481, 0.255], [0.310, 0.876, 0.198], [0.124, 0.690, 0.802], [0.690, 0.124, 0.802], [0.876, 0.310, 0.198], [0.539, 0.838, 0.380], [0.162, 0.461, 0.620], [0.461, 0.162, 0.620], [0.838, 0.539, 0.380], [0.642, 0.358, 0.000], [0.358, 0.642, 0.000], [0.278, 0.278, 0.108], [0.722, 0.722, 0.892], [0.099, 0.594, 0.198], [0.406, 0.901, 0.802], [0.901, 0.406, 0.802], [0.594, 0.099, 0.198], [0.909, 0.909, 0.292], [0.091, 0.091, 0.708], [0.312, 0.812, 0.595], [0.188, 0.688, 0.405], [0.688, 0.188, 0.405], [0.812, 0.312, 0.595], [0.000, 0.500, 0.000], [0.500, 0.000, 0.000]], "total_energy_ev_per_atom": -8.111, "e_form_ev_per_atom": -0.01, "spacegroup": "C2/m"}

{"formula": "HoFe2", "functional": "PBE-GGA", "state": "relaxed", "cell": [[3.224, 0.000, 0.000], [0.000, 3.224, 0.000], [-1.612, -1.612, 4.939]], "species": ["Ho", "Fe", "Fe"], "frac_coords": [[0.000, 0.000, 0.000], [0.699, 0.699, 0.398], [0.301, 0.301, 0.602]], "total_energy_ev_per_atom": -7.041, "e_form_ev_per_atom": 0.13, "spacegroup": "I4/mmm"}

{"formula": "Ho2Fe17", "functional": "PBE-GGA", "state": "relaxed", "cell": [[6.382, -0.045, -0.040], [0.860, 6.324, -0.040], [0.860, 0.746, 6.280]], "species": ["Ho", "Ho", "Fe", "Fe", "Fe", "Fe", "Fe", "Fe", "Fe", "Fe", "Fe", "Fe", "Fe", "Fe", "Fe", "Fe", "Fe", "Fe", "Fe"], "frac_coords": [[0.340, 0.340, 0.340], [0.660, 0.660, 0.660], [0.657, 0.657, 0.158], [0.158, 0.657, 0.657], [0.904, 0.904, 0.904], [0.096, 0.096, 0.096], [0.000, 0.000, 0.500], [0.000, 0.500, 0.000], [0.500, 0.000, 0.000], [0.297, 0.703, 0.000], [0.703, 0.000, 0.297], [0.000, 0.297, 0.703], [0.703, 0.297, 0.000], [0.297, 0.000, 0.703], [0.000, 0.703, 0.297], [0.842, 0.343, 0.343], [0.343, 0.343, 0.842], [0.343, 0.842, 0.343], [0.657, 0.158, 0.657]], "total_energy_ev_per_atom": -8.070, "e_form_ev_per_atom": -0.02, "spacegroup": "R-3m"}

{"formula": "HoFe12", "functional": "PBE-GGA", "state": "relaxed", "cell": [[4.679, 0.000, 0.000], [2.340, 5.959, 0.000], [2.340, 0.000, 5.959]], "species": ["Ho", "Fe", "Fe", "Fe", "Fe", "Fe", "Fe", "Fe", "Fe", "Fe", "Fe", "Fe", "Fe"], "frac_coords": [[0.000, 0.000, 0.000], [0.500, 0.000, 0.500], [0.000, 0.000, 0.500], [0.500, 0.500, 0.000], [0.000, 0.500, 0.000], [0.000, 0.642, 0.358], [0.000, 0.358, 0.642], [0.642, 0.358, 0.358], [0.358, 0.642, 0.642], [0.500, 0.226, 0.774], [0.500, 0.774, 0.226], [0.726, 0.774, 0.774], [0.274, 0.226, 0.226]], "total_energy_ev_per_atom": -8.174, "e_form_ev_per_atom": -0.01, "spacegroup": "I4/mmm"}

Which formula does entry 1 have?
Ho3Fe29

What is the formula in the fourth record?
HoFe12